(1)
{
  "formula": "TeRuPt2",
  "functional": "PBE",
  "state": "optimized geometry",
  "lattice_angstrom": [[-2.642, -1.500, 2.163], [0.198, -2.484, -1.481], [4.734, -4.563, 2.618]],
  "species": ["Pt", "Pt", "Ru", "Te"],
  "frac_coords": [[0.000, 0.972, 0.028], [0.000, 0.528, 0.472], [0.500, 0.250, 0.250], [0.500, 0.750, 0.750]],
  "e_tot_ha_per_atom": -0.2152,
  "mass_density_g_cm3": 14.72,
  "e_form_raw_mev_per_atom": 269.4,
  "m_tot_mub_per_cell": 0.00,
  "space_group": "Pmmm"
}

(2)
{
  "formula": "Te2RuPt",
  "functional": "PBE",
  "state": "optimized geometry",
  "lattice_angstrom": [[-3.428, -0.993, 0.720], [0.749, -3.377, -1.093], [1.829, -1.667, 6.405]],
  "species": ["Pt", "Ru", "Te", "Te"],
  "frac_coords": [[0.000, 0.000, 0.505], [0.500, 0.500, 0.741], [0.000, 0.000, 0.890], [0.500, 0.500, 0.364]],
  "e_tot_ha_per_atom": -0.1997,
  "mass_density_g_cm3": 10.10,
  "e_form_raw_mev_per_atom": -32.8,
  "m_tot_mub_per_cell": 0.02,
  "space_group": "Pmm2"
}

(3)
{
  "formula": "TeRu2Pt2",
  "functional": "PBE",
  "state": "optimized geometry",
  "lattice_angstrom": [[3.631, 0.000, 0.000], [0.000, 3.631, 0.000], [1.815, 1.815, 6.765]],
  "species": ["Ru", "Ru", "Te", "Pt", "Pt"],
  "frac_coords": [[0.750, 0.250, 0.500], [0.250, 0.750, 0.500], [0.000, 0.000, 0.000], [0.397, 0.397, 0.206], [0.603, 0.603, 0.794]],
  "e_tot_ha_per_atom": -0.2351,
  "mass_density_g_cm3": 13.41,
  "e_form_raw_mev_per_atom": 357.3,
  "m_tot_mub_per_cell": 0.00,
  "space_group": "I4/mmm"
}

(4)
{
  "formula": "TeRuPt3",
  "functional": "PBE",
  "state": "optimized geometry",
  "lattice_angstrom": [[-3.140, 1.393, 3.501], [-1.293, -4.679, 0.701], [3.539, -0.474, 3.362]],
  "species": ["Ru", "Te", "Pt", "Pt", "Pt"],
  "frac_coords": [[0.500, 0.500, 0.500], [0.000, 0.000, 0.000], [0.000, 0.500, 0.000], [0.000, 0.000, 0.500], [0.500, 0.000, 0.000]],
  "e_tot_ha_per_atom": -0.1759,
  "mass_density_g_cm3": 11.45,
  "e_form_raw_mev_per_atom": 1321.7,
  "m_tot_mub_per_cell": 3.05,
  "space_group": "Pm-3m"
}

(5)
{
  "formula": "Te2RuPt",
  "functional": "PBE",
  "state": "optimized geometry",
  "lattice_angstrom": [[-3.074, -5.496, 4.104], [-0.111, -7.030, 2.657], [0.181, -4.968, 5.638]],
  "species": ["Pt", "Ru", "Te", "Te"],
  "frac_coords": [[0.250, 0.250, 0.250], [0.750, 0.750, 0.750], [0.002, 0.002, 0.002], [0.498, 0.498, 0.498]],
  "e_tot_ha_per_atom": -0.1935,
  "mass_density_g_cm3": 11.08,
  "e_form_raw_mev_per_atom": 133.9,
  "m_tot_mub_per_cell": 0.65,
  "space_group": "R-3m"
}

(6)
{
  "formula": "TeRuPt",
  "functional": "PBE",
  "state": "optimized geometry",
  "lattice_angstrom": [[5.248, -0.009, -0.007], [3.075, 4.253, 0.007], [-3.987, -2.462, 2.361]],
  "species": ["Pt", "Ru", "Te"],
  "frac_coords": [[0.997, 0.997, 0.000], [0.319, 0.319, 0.000], [0.683, 0.683, 0.000]],
  "e_tot_ha_per_atom": -0.2140,
  "mass_density_g_cm3": 13.33,
  "e_form_raw_mev_per_atom": 329.5,
  "m_tot_mub_per_cell": 0.00,
  "space_group": "Imm2"
}

(7)
{
  "formula": "TeRuPt2",
  "functional": "PBE",
  "state": "optimized geometry",
  "lattice_angstrom": [[4.405, -0.009, -0.003], [-1.127, 4.258, -0.003], [0.001, 0.001, 3.668]],
  "species": ["Pt", "Pt", "Ru", "Te"],
  "frac_coords": [[0.000, 0.000, 0.000], [0.500, 0.500, 0.000], [0.500, 0.000, 0.500], [0.000, 0.500, 0.500]],
  "e_tot_ha_per_atom": -0.2178,
  "mass_density_g_cm3": 14.95,
  "e_form_raw_mev_per_atom": 197.7,
  "m_tot_mub_per_cell": 0.00,
  "space_group": "Cmmm"
}

(8)
{
  "formula": "TeRuPt",
  "functional": "PBE",
  "state": "optimized geometry",
  "lattice_angstrom": [[4.380, 0.000, 0.000], [2.190, 3.793, 0.000], [2.190, 1.264, 3.576]],
  "species": ["Pt", "Ru", "Te"],
  "frac_coords": [[0.500, 0.500, 0.500], [0.750, 0.750, 0.750], [0.000, 0.000, 0.000]],
  "e_tot_ha_per_atom": -0.2209,
  "mass_density_g_cm3": 11.85,
  "e_form_raw_mev_per_atom": 141.7,
  "m_tot_mub_per_cell": 0.00,
  "space_group": "F-43m"
}